Compound: ZnInRe2As
Source: Alexandria via LeMat-Bulk
Functional: GGA-PBE
Structure: relaxed

Cell lengths 4.6292, 5.1203, 4.6292 Å; angles 90.00, 90.00, 90.00 degrees
Atoms (fractional coordinates):
Re (0.5000, 0.0000, 0.0000)
Zn (0.5000, 0.5000, 0.5000)
In (0.0000, 0.5000, 0.0000)
Re (0.0000, 0.0000, 0.5000)
As (0.0000, 0.0000, 0.0000)

Values from the calculation:
DOS(E_F) in states/eV/f.u.: 5.115
M_tot in Bohr magnetons per cell: 2.1
Raw total energy in eV/atom: -5.144